Entry 1:
SrZn2Ag | the Alexandria database | meta-GGA SCAN | PBEsol geometry; density of states at the Fermi level = 2.295 states/eV per cell; theoretical density = 6.475 Mg/m³; formation energy = -21 meV/atom; DFT total energy = -80.76 eV per cell
1.0
-1.8645 -4.3877 1.1729
-1.1840 -3.1898 -3.5395
2.6846 -4.0598 -0.6444
Zn Sr Ag
2 1 1
direct
0.2500 0.2500 0.2500
0.0000 0.0000 0.0000
0.7500 0.7500 0.7500
0.5000 0.5000 0.5000

=====

Entry 2:
Li2SbO2 | the Alexandria database | meta-GGA SCAN | PBEsol geometry; density of states at the Fermi level = 1.869 states/eV per cell; theoretical density = 5.086 Mg/m³; formation energy from raw total energies = -0.762 eV/atom; DFT total energy = -116.63 eV per cell
1.0
2.7570 0.0000 0.0000
0.0000 6.3010 0.0000
0.0000 0.0000 6.3010
Li O Sb
4 4 2
direct
0.0000 0.8810 0.6190
0.0000 0.6190 0.1190
0.0000 0.3810 0.8810
0.0000 0.1190 0.3810
0.5000 0.3179 0.1821
0.5000 0.6821 0.8179
0.5000 0.1821 0.6821
0.5000 0.8179 0.3179
0.0000 0.0000 0.0000
0.0000 0.5000 0.5000

=====

Entry 3:
NbBO4 | the Alexandria database | meta-GGA SCAN | PBEsol geometry; density of states at the Fermi level = 0.000 states/eV per cell; theoretical density = 5.161 Mg/m³; formation energy from raw total energies = -2.736 eV/atom; DFT total energy = -163.81 eV per cell
1.0
5.2140 0.0099 0.0000
-2.3212 4.6688 0.0000
-1.4464 -2.3394 4.4295
O B Nb
8 2 2
direct
0.9249 0.6026 0.6777
0.8526 0.6749 0.1777
0.3251 0.5028 0.1777
0.4972 0.6749 0.8223
0.3974 0.0751 0.3223
0.7528 0.0751 0.6777
0.9249 0.2472 0.3223
0.3251 0.1474 0.8223
0.5000 0.5000 0.0000
0.7500 0.2500 0.5000
0.2500 0.7500 0.5000
0.0000 0.0000 0.0000